# 1
SrLiMg: relaxed, PBE.

Geometry as POSCAR:
```
SrLiMg
1.0
-6.103 -1.626 4.843
-1.275 -2.734 -2.524
9.614 -7.486 3.252
Mg Sr Li
4 4 4
direct
0.161 0.000 0.806
0.839 0.000 0.194
0.161 0.500 0.306
0.839 0.500 0.694
0.500 0.500 0.000
0.500 0.000 0.500
0.000 0.500 0.000
0.000 0.000 0.500
0.645 0.000 0.802
0.645 0.500 0.302
0.355 0.000 0.198
0.355 0.500 0.698
```

Output
As for the formation energy: -19 meV/atom.

=====

# 2
Ir2Se2N: relaxed, PBE.

Geometry as POSCAR:
```
Ir2Se2N
1.0
5.608 0.000 0.000
0.000 5.608 0.000
0.000 0.000 5.233
Ir N Se
4 2 4
direct
0.750 0.250 0.000
0.250 0.750 0.000
0.750 0.750 0.000
0.250 0.250 0.000
0.500 0.500 0.000
0.000 0.000 0.000
0.750 0.750 0.500
0.250 0.250 0.500
0.750 0.250 0.500
0.250 0.750 0.500
```

=====

Listing excess energy over the best structure of this formula in the dataset for the structures above in their given order: 31; 0 meV per atom.
Listing theoretical density for the structures above in their given order: 2.1; 11.2 g/cm³.